A plane-wave DFT calculation with GGA-PBE was carried out for crystalline TaB4Mo2 at its relaxed geometry.

Cell and atoms, written as extended XYZ:
```
7
Lattice="-0.0524 3.0961 0.0326 -1.4463 0.0058 -2.8681 -5.4989 -1.6899 4.5683" Properties=species:S:1:pos:R:3 pbc="T T T"
Mo -4.6845 1.4634 0.5665
Mo -2.3131 -0.0515 1.1664
B -2.4253 1.5137 -0.5726
B -4.5723 -0.1017 2.3055
B -1.5421 -0.0153 -1.0211
B -5.4555 1.4273 2.7540
Ta -0.0262 1.5481 0.0163
```

- total magnetic moment (μB/cell) = 0.00
- ΔE_f (eV per formula unit) = -4.06
- space group = No. 71

=====

A plane-wave DFT calculation with GGA-PBE was carried out for crystalline TaBMo2 at its relaxed geometry.

Cell and atoms, written as extended XYZ:
```
8
Lattice="-7.1251 1.1748 -0.1490 -0.2905 -2.6149 -6.7266 -4.0747 -2.8387 -2.5984" Properties=species:S:1:pos:R:3 pbc="T T T"
Mo -4.8175 -0.4162 -1.5691
Mo -2.7816 -2.0832 -4.8868
Mo -5.8650 -2.9225 -5.1792
Mo -9.5165 -3.1356 -7.3128
B -3.7078 -0.7200 -3.4378
B -4.0365 -3.0868 -6.3814
Ta 0.0000 0.0000 0.0000
Ta -7.4538 -1.1920 -3.0926
```

- total magnetic moment (μB/cell) = 0.00
- ΔE_f (eV per formula unit) = 0.65
- space group = No. 122

=====

A plane-wave DFT calculation with GGA-PBE was carried out for crystalline TaB4Mo at its relaxed geometry.

Cell and atoms, written as extended XYZ:
```
6
Lattice="3.3655 -0.0013 0.0002 0.0013 3.0599 -0.0001 -0.0003 0.0001 5.2903" Properties=species:S:1:pos:R:3 pbc="T T T"
Ta 3.3619 3.0503 2.6354
B 1.6793 3.0509 0.8617
B 1.6789 3.0511 4.4089
B 1.6785 1.5211 3.5293
B 1.6785 1.5210 1.7414
Mo 3.3611 1.5204 5.2806
```

- total magnetic moment (μB/cell) = 0.00
- ΔE_f (eV per formula unit) = -2.82
- space group = No. 47